Entry 1:
## LiMgS (PBE)

Data for a relaxed LiMgS crystal.

Results
Size of the total moment = 0.0 μB per cell

a b c (Å): 10.366 7.456 6.425
angles (deg): 90.00 116.83 90.00
Space group Cc (No. 9)
Symmetry-distinct sites (fractional):
Li  0.000  0.091  0.000
Li  0.238  0.159  0.482
Mg  0.215  0.435  0.052
Mg  0.437  0.193  0.017
S  0.016  0.379  0.207
S  0.162  0.137  0.797

---

Entry 2:
## Li2MgS2 (PBE)

Data for a relaxed Li2MgS2 crystal.

Results
Size of the total moment = 0.0 μB per cell

a b c (Å): 6.870 6.870 3.617
angles (deg): 90.00 90.00 90.00
Space group P4/mbm (No. 127)
Symmetry-distinct sites (fractional):
Li  0.132  0.368  0.000
Mg  0.000  0.000  0.500
S  0.182  0.682  0.500

---

Entry 3:
## LiMgS2 (PBE)

Data for a relaxed LiMgS2 crystal.

Results
Size of the total moment = 3.9 μB per cell

a b c (Å): 6.040 6.040 9.491
angles (deg): 90.00 90.00 90.00
Space group I-42d (No. 122)
Symmetry-distinct sites (fractional):
Li  0.000  0.000  0.000
Mg  0.000  0.000  0.500
S  0.247  0.250  0.125

---

Entry 4:
## Li2MgSbS4 (PBE)

Data for a relaxed Li2MgSbS4 crystal.

Results
Size of the total moment = 0.0 μB per cell

a b c (Å): 7.465 7.492 10.606
angles (deg): 90.00 90.00 90.00
Space group Imma (No. 74)
Symmetry-distinct sites (fractional):
Li  0.000  0.000  0.000
Li  0.250  0.250  0.250
Mg  0.000  0.000  0.500
Sb  0.250  0.250  0.750
S  0.000  0.004  0.252
S  0.244  0.250  0.505

---

DOS at the Fermi energy / states/eV per cell: 0.4, 0.0, 13.3, 6.6
DFT total energy / eV per atom: -3.4998, -3.7762, -3.7780, -4.1720